[1]
Density functional theory data (PBE) for a geometry-optimized K2SiNi structure.

Properties
Total magnetization, μB per formula unit: 0.71
Energy relative to the elements, uncorrected, kJ/mol of formula units: 291.3
Uncorrected energy, eV per atom: -2.595

Cell lengths 4.207, 4.207, 5.324 Å; angles 90.00, 90.00, 90.00 degrees
Space group P4/mmm (No. 123)
Inequivalent atoms, fractional coordinates:
K (0.000, 0.500, 0.000)
Si (0.000, 0.000, 0.500)
Ni (0.500, 0.500, 0.500)

***

[2]
Density functional theory data (PBE) for a geometry-optimized LiTa2As structure.

Properties
Total magnetization, μB per formula unit: 0.00
Formation energy from the elements, eV per atom: 0.03
Uncorrected energy, eV per atom: -7.536

Cell lengths 3.916, 3.916, 4.205 Å; angles 90.00, 90.00, 90.00 degrees
Space group P4/mmm (No. 123)
Inequivalent atoms, fractional coordinates:
Li (0.000, 0.000, 0.000)
Ta (0.000, 0.500, 0.500)
As (0.500, 0.500, 0.000)

***

[3]
Density functional theory data (PBE) for a geometry-optimized LaSm6Er2Th structure.

Properties
Total magnetization, μB per formula unit: 0.00
Formation energy from the elements, eV per atom: 0.14
Uncorrected energy, eV per atom: -4.836

Cell lengths 9.513, 15.066, 9.479 Å; angles 90.00, 94.83, 90.00 degrees
Space group C2/c (No. 15)
Inequivalent atoms, fractional coordinates:
La (0.000, 0.040, 0.250)
Sm (0.063, 0.176, 0.939)
Sm (0.092, 0.386, 0.113)
Sm (0.219, 0.224, 0.316)
Er (0.248, 0.449, 0.445)
Th (0.000, 0.411, 0.750)

***

[4]
Density functional theory data (PBE) for a geometry-optimized Li2AcDyTe4 structure.

Properties
Total magnetization, μB per formula unit: 0.00
Energy relative to the elements, uncorrected, kJ/mol of formula units: -1005.8
Uncorrected energy, eV per atom: -4.441

Cell lengths 7.571, 4.513, 7.845 Å; angles 90.00, 110.08, 90.00 degrees
Space group P2/m (No. 10)
Inequivalent atoms, fractional coordinates:
Li (0.000, 0.000, 0.000)
Li (0.000, 0.500, 0.500)
Ac (0.500, 0.000, 0.500)
Dy (0.500, 0.500, 0.000)
Te (0.233, 0.500, 0.227)
Te (0.243, 0.000, 0.764)